This record from the Alexandria database describes an optimized crystal structure of Sr2NdBeO5. The functional is PBEsol.

The calculated volume is 12.73 Å³/atom. The calculation puts the total magnetization at 1.0 μB/f.u. The raw total energy comes out at -7.138 eV/atom.

a = 6.531 Å, b = 7.395 Å, c = 9.488 Å
α = 90.00°, β = 90.00°, γ = 90.00°
Each line ends with the local moment (μB).
Atoms (fractional coordinates):
1 Sr 0.413 0.475 0.827  0.00
2 Sr 0.587 0.525 0.173  0.00
3 Sr 0.913 0.525 0.673  0.00
4 Sr 0.587 0.975 0.173  0.00
5 Sr 0.087 0.475 0.327  0.00
6 Sr 0.413 0.025 0.827  0.00
7 Sr 0.087 0.025 0.327  0.00
8 Sr 0.913 0.975 0.673  0.00
9 Nd 0.904 0.250 0.970  -0.01
10 Nd 0.096 0.750 0.030  -0.01
11 Nd 0.404 0.750 0.530  -0.01
12 Nd 0.596 0.250 0.470  -0.01
13 Be 0.189 0.250 0.600  0.00
14 Be 0.811 0.750 0.400  0.00
15 Be 0.689 0.750 0.900  0.00
16 Be 0.311 0.250 0.100  0.00
17 O 0.677 0.250 0.726  0.31
18 O 0.323 0.750 0.274  0.31
19 O 0.177 0.750 0.774  0.31
20 O 0.823 0.250 0.226  0.31
21 O 0.312 0.436 0.562  0.10
22 O 0.688 0.564 0.438  0.10
23 O 0.812 0.564 0.938  0.10
24 O 0.688 0.936 0.438  0.10
25 O 0.188 0.436 0.062  0.10
26 O 0.312 0.064 0.562  0.10
27 O 0.188 0.064 0.062  0.10
28 O 0.812 0.936 0.938  0.10
29 O 0.967 0.250 0.513  0.24
30 O 0.033 0.750 0.487  0.24
31 O 0.467 0.750 0.987  0.24
32 O 0.533 0.250 0.013  0.24
33 O 0.127 0.250 0.770  0.11
34 O 0.873 0.750 0.230  0.11
35 O 0.627 0.750 0.730  0.11
36 O 0.373 0.250 0.270  0.11

***

This record from the Alexandria database describes an optimized crystal structure of CdHPd3. The functional is PBEsol.

The calculated volume is 12.79 Å³/atom. The calculation puts the total magnetization at 0.0 μB/f.u. The raw total energy comes out at -4.787 eV/atom.

a = 3.999 Å, b = 3.999 Å, c = 3.999 Å
α = 90.00°, β = 90.00°, γ = 90.00°
Atoms (fractional coordinates):
1 H 0.500 0.500 0.500
2 Pd 0.500 0.500 0.000
3 Pd 0.500 0.000 0.500
4 Pd 0.000 0.500 0.500
5 Cd 0.000 0.000 0.000

***

This record from the Alexandria database describes an optimized crystal structure of Y6Pb8OF32. The functional is PBEsol.

The calculated volume is 14.39 Å³/atom. The calculation puts the total magnetization at 0.2 μB/f.u. The raw total energy comes out at -6.213 eV/atom.

a = 9.110 Å, b = 9.110 Å, c = 9.110 Å
α = 73.34°, β = 73.34°, γ = 73.34°
Each line ends with the local moment (μB).
Atoms (fractional coordinates):
1 Y 0.528 0.840 0.391  0.00
2 Y 0.472 0.160 0.609  0.00
3 Y 0.609 0.472 0.160  0.00
4 Y 0.840 0.391 0.528  0.00
5 Y 0.160 0.609 0.472  0.00
6 Y 0.391 0.528 0.840  0.00
7 Pb 0.906 0.040 0.292  0.00
8 Pb 0.292 0.906 0.040  0.00
9 Pb 0.708 0.094 0.960  0.00
10 Pb 0.094 0.960 0.708  0.00
11 Pb 0.268 0.268 0.268  0.00
12 Pb 0.960 0.708 0.094  0.00
13 Pb 0.732 0.732 0.732  0.00
14 Pb 0.040 0.292 0.906  0.00
15 O 0.000 0.000 0.000  0.11
16 F 0.817 0.548 0.975  0.00
17 F 0.258 0.087 0.786  0.00
18 F 0.303 0.785 0.412  0.00
19 F 0.495 0.354 0.042  0.00
20 F 0.087 0.786 0.258  0.00
21 F 0.265 0.350 0.543  0.00
22 F 0.457 0.735 0.650  0.00
23 F 0.650 0.457 0.735  0.00
24 F 0.350 0.543 0.265  0.00
25 F 0.857 0.857 0.857  0.00
26 F 0.183 0.452 0.025  0.00
27 F 0.785 0.412 0.303  0.00
28 F 0.354 0.042 0.495  0.00
29 F 0.548 0.975 0.817  0.00
30 F 0.215 0.588 0.697  0.00
31 F 0.214 0.742 0.913  0.00
32 F 0.975 0.817 0.548  0.00
33 F 0.042 0.495 0.354  0.00
34 F 0.742 0.913 0.214  0.00
35 F 0.646 0.958 0.505  0.00
36 F 0.412 0.303 0.785  0.00
37 F 0.958 0.505 0.646  0.00
38 F 0.505 0.646 0.958  0.00
39 F 0.735 0.650 0.457  0.00
40 F 0.588 0.697 0.215  0.00
41 F 0.543 0.265 0.350  0.00
42 F 0.452 0.025 0.183  0.00
43 F 0.025 0.183 0.452  0.00
44 F 0.786 0.258 0.087  0.00
45 F 0.143 0.143 0.143  0.00
46 F 0.697 0.215 0.588  0.00
47 F 0.913 0.214 0.742  0.00

***

> Number 1 is which compound?

Sr2NdBeO5